Record 1
The following is a PBE calculation of an optimized crystal structure of Y2TiSbC, from Alexandria via LeMat-Bulk.

Cell lengths 4.962, 4.962, 4.232 Å; angles 90.00, 90.00, 90.00 degrees
Each line ends with the local moment (μB).
Atoms (fractional coordinates):
Y 0.500 0.000 0.000  0.09
Y 0.000 0.500 0.000  0.09
Sb 0.500 0.500 0.500  -0.01
C 0.000 0.000 0.000  -0.04
Ti 0.000 0.000 0.500  0.88

Calculated values
Calculated total energy = -0.27329 Ha/atom
Density of states at the Fermi level = 3.062 states/eV/f.u.
Magnetic moment = 1.46 μB/f.u.
Space group = P4/mmm (123)

=====

Record 2
The following is a PBE calculation of an optimized crystal structure of ZrTi2SbC, from Alexandria via LeMat-Bulk.

Cell lengths 4.206, 4.206, 4.713 Å; angles 90.00, 90.00, 90.00 degrees
Atoms (fractional coordinates):
C 0.000 0.000 0.000
Ti 0.500 0.000 0.000
Ti 0.000 0.500 0.000
Sb 0.500 0.500 0.500
Zr 0.000 0.000 0.500

Calculated values
Calculated total energy = -0.29686 Ha/atom
Density of states at the Fermi level = 4.593 states/eV/f.u.
Magnetic moment = 0.00 μB/f.u.
Space group = P4/mmm (123)

=====

Record 3
The following is a PBE calculation of an optimized crystal structure of TlSb2C, from Alexandria via LeMat-Bulk.

Cell lengths 5.034, 5.034, 5.034 Å; angles 60.00, 60.00, 60.00 degrees
Atoms (fractional coordinates):
C 0.000 0.000 0.000
Sb 0.250 0.250 0.250
Sb 0.750 0.750 0.750
Tl 0.500 0.500 0.500

Calculated values
Calculated total energy = -0.12538 Ha/atom
Density of states at the Fermi level = 2.076 states/eV/f.u.
Magnetic moment = 0.00 μB/f.u.
Space group = Fm-3m (225)

=====

Record 4
The following is a PBE calculation of an optimized crystal structure of TlSb2C, from Alexandria via LeMat-Bulk.

Cell lengths 6.922, 6.922, 6.468 Å; angles 57.65, 57.65, 90.00 degrees
Atoms (fractional coordinates):
Sb 0.375 0.480 0.750
Sb 0.230 0.625 0.250
Sb 0.875 0.770 0.750
Sb 0.520 0.125 0.250
Tl 0.000 0.000 0.000
Tl 0.750 0.250 0.500
C 0.250 0.750 0.500
C 0.500 0.500 0.000

Calculated values
Calculated total energy = -0.15302 Ha/atom
Density of states at the Fermi level = 1.893 states/eV/f.u.
Magnetic moment = 0.00 μB/f.u.
Space group = I-42d (122)

=====

Record 5
The following is a PBE calculation of an optimized crystal structure of Tl2SbC, from Alexandria via LeMat-Bulk.

Cell lengths 6.198, 6.198, 7.121 Å; angles 64.20, 64.20, 90.00 degrees
Atoms (fractional coordinates):
Tl 0.875 0.778 0.750
Tl 0.222 0.625 0.250
Tl 0.375 0.472 0.750
Tl 0.528 0.125 0.250
C 0.500 0.500 0.000
C 0.250 0.750 0.500
Sb 0.000 0.000 0.000
Sb 0.750 0.250 0.500

Calculated values
Calculated total energy = -0.12838 Ha/atom
Density of states at the Fermi level = 2.690 states/eV/f.u.
Magnetic moment = 0.00 μB/f.u.
Space group = I-42d (122)

=====

Record 6
The following is a PBE calculation of an optimized crystal structure of Tl2SbC, from Alexandria via LeMat-Bulk.

Cell lengths 5.133, 5.133, 5.133 Å; angles 60.00, 60.00, 60.00 degrees
Atoms (fractional coordinates):
Tl 0.250 0.250 0.250
Tl 0.750 0.750 0.750
Sb 0.500 0.500 0.500
C 0.000 0.000 0.000

Calculated values
Calculated total energy = -0.11049 Ha/atom
Density of states at the Fermi level = 3.110 states/eV/f.u.
Magnetic moment = 0.00 μB/f.u.
Space group = Fm-3m (225)

=====

Record 7
The following is a PBE calculation of an optimized crystal structure of Tl3SbC, from Alexandria via LeMat-Bulk.

Cell lengths 6.072, 6.072, 6.072 Å; angles 90.00, 90.00, 90.00 degrees
Each line ends with the local moment (μB).
Atoms (fractional coordinates):
Sb 0.000 0.000 0.000  -0.02
Tl 0.000 0.500 0.000  -0.02
Tl 0.500 0.000 0.000  -0.03
Tl 0.000 0.000 0.500  0.01
C 0.500 0.500 0.500  1.05

Calculated values
Calculated total energy = -0.09027 Ha/atom
Density of states at the Fermi level = 4.080 states/eV/f.u.
Magnetic moment = 2.34 μB/f.u.
Space group = Pm-3m (221)

=====

Record 8
The following is a PBE calculation of an optimized crystal structure of Tl3SbC, from Alexandria via LeMat-Bulk.

Cell lengths 4.999, 4.999, 4.999 Å; angles 90.00, 90.00, 90.00 degrees
Atoms (fractional coordinates):
C 0.000 0.000 0.000
Tl 0.500 0.000 0.000
Tl 0.000 0.000 0.500
Tl 0.000 0.500 0.000
Sb 0.500 0.500 0.500

Calculated values
Calculated total energy = -0.11813 Ha/atom
Density of states at the Fermi level = 1.631 states/eV/f.u.
Magnetic moment = 0.00 μB/f.u.
Space group = Pm-3m (221)